{
  "formula": "Ca3BrCl",
  "functional": "meta-GGA SCAN",
  "state": "PBEsol geometry",
  "cell": [[5.638, 0.000, 0.000], [0.000, 5.638, 0.000], [0.000, 0.000, 5.638]],
  "species": ["Ca", "Ca", "Ca", "Br", "Cl"],
  "frac_coords": [[0.000, 0.500, 0.000], [0.000, 0.000, 0.500], [0.500, 0.000, 0.000], [0.000, 0.000, 0.000], [0.500, 0.500, 0.500]],
  "dft_energy_ev_per_atom": -11.701,
  "magmom_total_mub_per_fu": 2.9,
  "spacegroup": "Pm-3m (221)"
}